First-principles (PBE) data for a geometry-optimized AgCI2O structure, as listed in the Alexandria database.

Results
Relative energy among the computed polymorphs (eV/atom): 0.758
Formation energy (no corrections) (kcal/mol of atoms): 38.60

abc: 5.6508 5.6508 3.9943
angles: 90.00 90.00 90.00
Sites, in units of the cell vectors:
Ag 0.0000 0.0000 0.0000
C 0.5000 0.5000 0.5000
I 0.0000 0.5000 0.0000
I 0.5000 0.0000 0.0000
O 0.0000 0.0000 0.5000

=====

First-principles (PBE) data for a geometry-optimized AcLa2PmSm5 structure, as listed in the Alexandria database.

Results
Formation energy (eV per atom): 0.167

abc: 10.8965 10.8965 10.8538
angles: 90.00 90.00 149.25
Sites, in units of the cell vectors:
Ac 0.0898 0.9102 0.5000
Ac 0.9102 0.0898 0.0000
La 0.3781 0.6219 0.7730
La 0.3845 0.6155 0.3649
La 0.6155 0.3845 0.8649
La 0.6219 0.3781 0.2730
Pm 0.2933 0.7067 0.0583
Pm 0.7067 0.2933 0.5583
Sm 0.0207 0.9793 0.7874
Sm 0.1079 0.8921 0.0706
Sm 0.1997 0.8003 0.7618
Sm 0.2273 0.7727 0.3622
Sm 0.4891 0.5109 0.0711
Sm 0.5109 0.4891 0.5711
Sm 0.7727 0.2273 0.8622
Sm 0.8003 0.1997 0.2618
Sm 0.8921 0.1079 0.5706
Sm 0.9793 0.0207 0.2874

=====

First-principles (PBE) data for a geometry-optimized Li2YAg2 structure, as listed in the Alexandria database.

Results
Relative energy among the computed polymorphs (eV/atom): 0.110
Formation energy (eV per atom): -0.089

abc: 7.7806 7.7806 3.3088
angles: 90.00 90.00 90.00
Sites, in units of the cell vectors:
Li 0.1521 0.3479 0.0000
Li 0.3479 0.8479 0.0000
Li 0.6521 0.1521 0.0000
Li 0.8479 0.6521 0.0000
Y 0.0000 0.0000 0.5000
Y 0.5000 0.5000 0.5000
Ag 0.1352 0.6352 0.5000
Ag 0.3648 0.1352 0.5000
Ag 0.6352 0.8648 0.5000
Ag 0.8648 0.3648 0.5000

=====

First-principles (PBE) data for a geometry-optimized MgCdAg2 structure, as listed in the Alexandria database.

Results
Formation energy (eV per atom): 0.111

abc: 7.6583 7.6583 5.7724
angles: 90.00 90.00 90.00
Sites, in units of the cell vectors:
Mg 0.0000 0.0000 0.0000
Mg 0.0000 0.5000 0.2500
Mg 0.5000 0.0000 0.7500
Mg 0.5000 0.5000 0.5000
Cd 0.0000 0.0000 0.5000
Cd 0.0000 0.5000 0.7500
Cd 0.5000 0.0000 0.2500
Cd 0.5000 0.5000 0.0000
Ag 0.2446 0.2500 0.1250
Ag 0.2500 0.7446 0.3750
Ag 0.2500 0.7554 0.8750
Ag 0.2554 0.2500 0.6250
Ag 0.7446 0.7500 0.6250
Ag 0.7500 0.2446 0.8750
Ag 0.7500 0.2554 0.3750
Ag 0.7554 0.7500 0.1250

=====

First-principles (PBE) data for a geometry-optimized Sr2Mg3TlCd12 structure, as listed in the Alexandria database.

Results
Formation energy (eV per atom): -0.037

abc: 13.1049 13.1049 13.1049
angles: 30.06 30.06 30.06
Sites, in units of the cell vectors:
Sr 0.1400 0.1400 0.1400
Sr 0.8600 0.8600 0.8600
Mg 0.0000 0.5000 0.5000
Mg 0.5000 0.0000 0.5000
Mg 0.5000 0.5000 0.0000
Tl 0.5000 0.5000 0.5000
Cd 0.0908 0.0908 0.6600
Cd 0.0906 0.6167 0.6167
Cd 0.0908 0.6600 0.0908
Cd 0.3400 0.9092 0.9092
Cd 0.3833 0.3833 0.9094
Cd 0.3833 0.9094 0.3833
Cd 0.6167 0.0906 0.6167
Cd 0.6167 0.6167 0.0906
Cd 0.6600 0.0908 0.0908
Cd 0.9092 0.3400 0.9092
Cd 0.9094 0.3833 0.3833
Cd 0.9092 0.9092 0.3400

=====

First-principles (PBE) data for a geometry-optimized BeMoCl2 structure, as listed in the Alexandria database.

Results
Relative energy among the computed polymorphs (eV/atom): 0.583
Formation energy (no corrections) (kcal/mol of atoms): 6.43

abc: 3.0351 3.0351 25.5974
angles: 90.00 90.00 120.00
Sites, in units of the cell vectors:
Be 0.0000 0.0000 0.0000
Be 0.3333 0.6667 0.6667
Be 0.6667 0.3333 0.3333
Mo 0.0000 0.0000 0.5000
Mo 0.3333 0.6667 0.1667
Mo 0.6667 0.3333 0.8333
Cl 0.0000 0.0000 0.0968
Cl 0.0000 0.0000 0.9032
Cl 0.3333 0.6667 0.5698
Cl 0.3333 0.6667 0.7635
Cl 0.6667 0.3333 0.2365
Cl 0.6667 0.3333 0.4302

=====

First-principles (PBE) data for a geometry-optimized CaSiW2 structure, as listed in the Alexandria database.

Results
Formation energy (no corrections) (kcal/mol of atoms): 9.59

abc: 3.3458 3.3458 6.7540
angles: 90.00 90.00 90.00
Sites, in units of the cell vectors:
Ca 0.0000 0.0000 0.0000
Si 0.0000 0.0000 0.5000
W 0.5000 0.5000 0.3249
W 0.5000 0.5000 0.6751

=====

The following density values (in g/cm3) correspond, in order, to the records above: 5.07; 7.06; 5.28; 6.92; 5.98; 4.29; 9.57.